Entry 1:
InSnRhCl2: relaxed, PBE.

Computed properties:
space group	P4/mmm, No. 123
raw formation energy	-0.19	eV per atom

extended XYZ file:
```
5
Lattice="-1.137 3.764 -2.863 -4.740 0.378 2.379 1.887 3.061 3.275" Properties=species:S:1:pos:R:3 pbc="T T T"
Cl 0.944 1.530 1.637
Cl -0.568 1.882 -1.431
Rh 0.000 0.000 0.000
Sn -2.370 0.189 1.189
In -1.995 3.601 1.395
```

Entry 2:
Mg4Si3: relaxed, PBE.

Computed properties:
energy above the lowest structure with this stoichiometry	6.5	kJ per mole of atoms
space group	P1, No. 1
raw formation energy	0.04	eV per atom

extended XYZ file:
```
14
Lattice="5.169 0.416 -0.230 -2.896 -7.366 -0.335 -0.159 -0.504 -7.376" Properties=species:S:1:pos:R:3 pbc="T T T"
Mg 0.574 -5.947 -4.482
Mg -2.005 -7.007 -6.106
Mg 1.417 -1.718 -0.701
Mg -1.064 -4.194 -7.288
Mg 0.431 -2.515 -4.873
Mg 2.996 -3.963 -4.146
Mg 3.956 -1.129 -2.539
Mg 2.062 -5.370 -1.437
Si -0.504 -6.223 -1.512
Si -1.815 -7.353 -3.247
Si 3.893 -0.892 -7.263
Si 1.620 -4.402 -6.491
Si 2.921 -1.188 -5.051
Si 0.117 -3.981 -2.522
```